VASP calculation (PBE with a Hubbard U) on crystalline Fe3O4F2 at its relaxed geometry.

**Total magnetic moment**: 4.0 μB/f.u.
**V**: 195.7 Å³ per cell
**E_tot**: -5.90 eV per atom
**Offset from the most stable computed form**: 197 meV/atom

POSCAR file:
```
Fe3O4F2
1.0
4.6985 0.0000 0.0000
0.4583 5.5262 0.0000
0.5012 0.7490 7.5374
Fe O F
6 8 4
direct
0.0000 0.0000 0.0000 Fe
0.9995 0.3315 0.6689 Fe
0.0018 0.6595 0.3479 Fe
0.5021 0.5018 0.0091 Fe
0.5356 0.8480 0.6803 Fe
0.5398 0.1872 0.3539 Fe
0.3059 0.4671 0.2448 O
0.3149 0.1362 0.5737 O
0.3235 0.7973 0.9087 O
0.7013 0.2067 0.1130 O
0.7045 0.8684 0.4410 O
0.7160 0.5393 0.7806 O
0.8256 0.3821 0.4521 O
0.8270 0.0551 0.7703 O
0.1862 0.9507 0.2400 F
0.1955 0.6245 0.5743 F
0.2047 0.3004 0.9031 F
0.8139 0.6993 0.1142 F
```